# 1
AlCu2Ni2 | GGA-PBE | relaxed

```
AlCu2Ni2
1.0
3.960 0.000 0.000
-1.980 3.430 0.000
0.000 0.000 4.848
Al Cu Ni
1 2 2
Direct
0.000 0.000 0.000
0.333 0.667 0.632
0.667 0.333 0.368
0.333 0.667 0.135
0.667 0.333 0.865
```

Computed properties:
Energy relative to the elements ... -0.0795 eV/atom
M_tot ... 0.0 μB per cell
N(E_F) ... 0.473 states/eV per atom
Energy relative to the lowest polymorph listed for this composition ... 0.164 eV per atom
Raw total energy ... -4.779 eV per atom

# 2
Ga2PSe | GGA-PBE | relaxed

```
Ga2PSe
1.0
6.688 0.000 0.000
0.000 6.688 0.000
0.000 0.000 6.688
Ga P Se
8 4 4
Direct
0.250 0.250 0.250
0.250 0.250 0.750
0.250 0.750 0.250
0.250 0.750 0.750
0.750 0.250 0.250
0.750 0.250 0.750
0.750 0.750 0.250
0.750 0.750 0.750
0.000 0.000 0.000
0.000 0.500 0.500
0.500 0.000 0.500
0.500 0.500 0.000
0.000 0.000 0.500
0.000 0.500 0.000
0.500 0.000 0.000
0.500 0.500 0.500
```

Computed properties:
ΔE_f (raw) ... 0.2226 eV per atom
M_tot ... 0.0 μB per cell
N(E_F) ... 0.900 states/eV per atom
Energy relative to the lowest polymorph listed for this composition ... 0.469 eV per atom
Raw total energy ... -3.514 eV per atom

# 3
LiTmPaRh | GGA-PBE | relaxed

```
LiTmPaRh
1.0
6.921 0.000 0.000
0.000 6.921 0.000
0.000 0.000 6.921
Li Tm Pa Rh
4 4 4 4
Direct
0.000 0.000 0.000
0.000 0.500 0.500
0.500 0.000 0.500
0.500 0.500 0.000
0.250 0.250 0.250
0.250 0.750 0.750
0.750 0.250 0.750
0.750 0.750 0.250
0.250 0.250 0.750
0.250 0.750 0.250
0.750 0.250 0.250
0.750 0.750 0.750
0.000 0.000 0.500
0.000 0.500 0.000
0.500 0.000 0.000
0.500 0.500 0.500
```

Computed properties:
Energy relative to the elements ... -0.1913 eV/atom
M_tot ... 2.1 μB per cell
N(E_F) ... 1.574 states/eV per atom
Raw total energy ... -5.999 eV per atom

# 4
KAgAu2 | GGA-PBE | relaxed

```
KAgAu2
1.0
12.180 0.000 0.000
0.000 2.861 0.000
-1.979 0.000 5.218
K Ag Au
2 2 4
Direct
0.000 0.000 0.000
0.500 0.500 0.000
0.208 0.000 0.692
0.708 0.500 0.692
0.270 0.500 0.221
0.487 0.000 0.491
0.770 0.000 0.221
0.987 0.500 0.491
```

Computed properties:
Energy relative to the elements ... -0.0145 eV/atom
M_tot ... 0.0 μB per cell
N(E_F) ... 0.111 states/eV per atom
Energy relative to the lowest polymorph listed for this composition ... 0.070 eV per atom
Raw total energy ... -2.640 eV per atom

# 5
Tb8Sm2Al | GGA-PBE | relaxed

```
Tb8Sm2Al
1.0
8.980 -2.468 0.000
8.980 2.468 0.000
-2.086 0.000 7.594
Tb Sm Al
8 2 1
Direct
0.043 0.043 0.229
0.133 0.133 0.672
0.322 0.322 0.591
0.412 0.412 0.062
0.588 0.588 0.938
0.678 0.678 0.409
0.867 0.867 0.328
0.957 0.957 0.771
0.223 0.223 0.134
0.777 0.777 0.866
0.500 0.500 0.500
```

Computed properties:
Energy relative to the elements ... -0.0227 eV/atom
M_tot ... 0.0 μB per cell
N(E_F) ... 1.306 states/eV per atom
Energy relative to the lowest polymorph listed for this composition ... 0.000 eV per atom
Raw total energy ... -4.588 eV per atom

# 6
KFeTc2Os | GGA-PBE | relaxed

```
KFeTc2Os
1.0
4.447 0.000 0.000
0.000 4.447 0.000
0.000 0.000 4.611
K Fe Tc Os
1 1 2 1
Direct
0.000 0.000 0.000
0.000 0.000 0.500
0.000 0.500 0.500
0.500 0.000 0.500
0.500 0.500 0.000
```

Computed properties:
Energy relative to the elements ... 2.2076 eV/atom
M_tot ... 2.1 μB per cell
N(E_F) ... 1.610 states/eV per atom
Raw total energy ... -6.097 eV per atom

# 7
Al2CoHPt | GGA-PBE | relaxed

```
Al2CoHPt
1.0
4.110 0.000 0.000
0.000 4.110 0.000
0.000 0.000 3.288
Al Co H Pt
2 1 1 1
Direct
0.000 0.500 0.000
0.500 0.000 0.000
0.000 0.000 0.500
0.000 0.000 0.000
0.500 0.500 0.500
```

Computed properties:
M_tot ... 0.6 μB per cell
N(E_F) ... 0.310 states/eV per atom
Raw total energy ... -5.332 eV per atom

# 8
BeFe2TcS | GGA-PBE | relaxed

```
BeFe2TcS
1.0
3.849 0.000 0.000
0.000 3.849 0.000
0.000 0.000 3.979
Be Fe Tc S
1 2 1 1
Direct
0.000 0.000 0.000
0.000 0.500 0.000
0.500 0.000 0.000
0.500 0.500 0.500
0.000 0.000 0.500
```

Computed properties:
ΔE_f (raw) ... 1.0616 eV per atom
M_tot ... 0.0 μB per cell
N(E_F) ... 1.259 states/eV per atom
Raw total energy ... -5.967 eV per atom

# 9
Tb2TmScTe4 | GGA-PBE | relaxed

```
Tb2TmScTe4
1.0
7.443 0.000 0.000
0.000 4.259 0.000
-2.439 0.000 7.126
Tb Tm Sc Te
2 1 1 4
Direct
0.000 0.000 0.000
0.500 0.500 0.000
0.000 0.500 0.500
0.500 0.000 0.500
0.251 0.000 0.740
0.259 0.500 0.263
0.741 0.500 0.737
0.749 0.000 0.260
```

Computed properties:
ΔE_f (raw) ... -1.2190 eV per atom
M_tot ... 0.0 μB per cell
N(E_F) ... 0.637 states/eV per atom
Raw total energy ... -5.298 eV per atom

# 10
Nb2AlCr | GGA-PBE | relaxed

```
Nb2AlCr
1.0
7.120 0.000 0.000
0.000 7.120 0.000
0.000 0.000 5.411
Nb Al Cr
8 4 4
Direct
0.214 0.750 0.125
0.250 0.214 0.875
0.250 0.286 0.375
0.286 0.750 0.625
0.714 0.250 0.625
0.750 0.714 0.375
0.750 0.786 0.875
0.786 0.250 0.125
0.000 0.000 0.500
0.000 0.500 0.750
0.500 0.000 0.250
0.500 0.500 0.000
0.000 0.000 0.000
0.000 0.500 0.250
0.500 0.000 0.750
0.500 0.500 0.500
```

Computed properties:
Energy relative to the elements ... 0.4474 eV/atom
M_tot ... 0.0 μB per cell
N(E_F) ... 0.888 states/eV per atom
Raw total energy ... -7.929 eV per atom

# 11
Pr2BS | GGA-PBE | relaxed

```
Pr2BS
1.0
3.980 0.000 0.000
-1.990 3.447 0.000
0.000 0.000 20.769
Pr B S
6 3 3
Direct
0.000 0.000 0.246
0.000 0.000 0.754
0.333 0.667 0.421
0.333 0.667 0.912
0.667 0.333 0.088
0.667 0.333 0.579
0.000 0.000 0.500
0.333 0.667 0.167
0.667 0.333 0.833
0.000 0.000 0.000
0.333 0.667 0.667
0.667 0.333 0.333
```

Computed properties:
ΔE_f (raw) ... -0.8840 eV per atom
M_tot ... 0.0 μB per cell
N(E_F) ... 0.895 states/eV per atom
Raw total energy ... -5.975 eV per atom

# 12
Rb2CeGeO6 | GGA-PBE | relaxed

```
Rb2CeGeO6
1.0
6.508 0.000 0.000
-3.254 5.636 0.000
0.000 0.000 5.738
Rb Ce Ge O
2 1 1 6
Direct
0.333 0.667 0.112
0.667 0.333 0.888
0.000 0.000 0.500
0.000 0.000 0.000
0.134 0.267 0.790
0.134 0.866 0.790
0.267 0.134 0.210
0.733 0.866 0.790
0.866 0.134 0.210
0.866 0.733 0.210
```

Computed properties:
ΔE_f (raw) ... -1.7143 eV per atom
M_tot ... 1.8 μB per cell
N(E_F) ... 0.780 states/eV per atom
Raw total energy ... -5.938 eV per atom

# 13
Ca2Hg2I | GGA-PBE | relaxed

```
Ca2Hg2I
1.0
5.892 0.000 0.000
0.000 5.892 0.000
0.000 0.000 10.109
Ca Hg I
4 4 2
Direct
0.000 0.500 0.250
0.000 0.500 0.750
0.500 0.000 0.250
0.500 0.000 0.750
0.000 0.000 0.142
0.000 0.000 0.858
0.500 0.500 0.358
0.500 0.500 0.642
0.000 0.000 0.500
0.500 0.500 0.000
```

Computed properties:
ΔE_f (raw) ... -0.4148 eV per atom
M_tot ... 0.0 μB per cell
N(E_F) ... 0.720 states/eV per atom
Energy relative to the lowest polymorph listed for this composition ... 0.219 eV per atom
Raw total energy ... -1.646 eV per atom

# 14
Bi6Pb12Au | GGA-PBE | relaxed

```
Bi6Pb12Au
1.0
5.335 3.080 6.072
-5.335 3.080 6.072
0.000 -6.160 6.072
Bi Pb Au
6 12 1
Direct
0.276 0.276 0.646
0.276 0.646 0.276
0.354 0.724 0.724
0.646 0.276 0.276
0.724 0.354 0.724
0.724 0.724 0.354
0.017 0.017 0.691
0.017 0.691 0.017
0.023 0.368 0.368
0.309 0.983 0.983
0.368 0.023 0.368
0.368 0.368 0.023
0.632 0.632 0.977
0.632 0.977 0.632
0.691 0.017 0.017
0.977 0.632 0.632
0.983 0.309 0.983
0.983 0.983 0.309
0.500 0.500 0.500
```

Computed properties:
Energy relative to the elements ... 0.0203 eV/atom
M_tot ... 0.0 μB per cell
N(E_F) ... 0.477 states/eV per atom
Raw total energy ... -3.720 eV per atom

# 15
AgPCl | GGA-PBE | relaxed

```
AgPCl
1.0
3.616 0.000 0.000
-1.808 3.132 0.000
0.000 0.000 5.340
Ag P Cl
1 1 1
Direct
0.000 0.000 0.000
0.333 0.667 0.736
0.667 0.333 0.333
```

Computed properties:
ΔE_f (raw) ... 0.3011 eV per atom
M_tot ... 0.0 μB per cell
N(E_F) ... 0.718 states/eV per atom
Energy relative to the lowest polymorph listed for this composition ... 0.308 eV per atom
Raw total energy ... -3.068 eV per atom

# 16
ScGeBr3 | GGA-PBE | relaxed

```
ScGeBr3
1.0
5.338 0.000 0.000
0.000 5.338 0.000
0.000 0.000 5.338
Sc Ge Br
1 1 3
Direct
0.000 0.000 0.000
0.500 0.500 0.500
0.000 0.000 0.500
0.000 0.500 0.000
0.500 0.000 0.000
```

Computed properties:
ΔE_f (raw) ... -0.5951 eV per atom
M_tot ... 2.0 μB per cell
N(E_F) ... 1.702 states/eV per atom
Energy relative to the lowest polymorph listed for this composition ... 0.000 eV per atom
Raw total energy ... -3.789 eV per atom

# 17
Sb4Pb | GGA-PBE | relaxed

```
Sb4Pb
1.0
5.726 0.000 0.000
0.000 5.726 0.000
0.000 0.000 5.726
Sb Pb
4 1
Direct
0.000 0.000 0.000
0.000 0.500 0.500
0.500 0.000 0.500
0.500 0.500 0.000
0.500 0.500 0.500
```

Computed properties:
ΔE_f (raw) ... 0.9814 eV per atom
M_tot ... 0.0 μB per cell
N(E_F) ... 1.249 states/eV per atom
Energy relative to the lowest polymorph listed for this composition ... 0.792 eV per atom
Raw total energy ... -3.058 eV per atom

# 18
Rb6IBr4 | GGA-PBE | relaxed

```
Rb6IBr4
1.0
2.493 -8.367 0.000
2.493 8.367 0.000
0.000 0.000 25.774
Rb I Br
12 2 8
Direct
0.000 0.000 0.000
0.000 0.000 0.500
0.175 0.825 0.750
0.274 0.726 0.080
0.274 0.726 0.420
0.463 0.537 0.663
0.463 0.537 0.837
0.537 0.463 0.163
0.537 0.463 0.337
0.726 0.274 0.580
0.726 0.274 0.920
0.825 0.175 0.250
0.149 0.851 0.250
0.851 0.149 0.750
0.095 0.905 0.620
0.095 0.905 0.880
0.363 0.637 0.544
0.363 0.637 0.956
0.637 0.363 0.044
0.637 0.363 0.456
0.905 0.095 0.120
0.905 0.095 0.380
```

Computed properties:
ΔE_f (raw) ... -1.4946 eV per atom
M_tot ... 0.3 μB per cell
N(E_F) ... 0.154 states/eV per atom
Raw total energy ... -2.772 eV per atom

# 19
Ca3Cd7Hg4 | GGA-PBE | relaxed

```
Ca3Cd7Hg4
1.0
8.450 -2.375 0.000
8.450 2.375 0.000
-6.930 0.000 8.774
Ca Cd Hg
3 7 4
Direct
0.000 0.000 0.000
0.292 0.292 0.279
0.708 0.708 0.721
0.000 0.000 0.500
0.154 0.154 0.425
0.353 0.353 0.998
0.487 0.487 0.656
0.513 0.513 0.344
0.647 0.647 0.002
0.846 0.846 0.575
0.129 0.129 0.844
0.352 0.352 0.742
0.648 0.648 0.258
0.871 0.871 0.156
```

Computed properties:
Energy relative to the elements ... -0.2780 eV/atom
M_tot ... 0.0 μB per cell
N(E_F) ... 0.449 states/eV per atom
Raw total energy ... -1.251 eV per atom

# 20
Pm4Ge5Pd2 | GGA-PBE | relaxed

```
Pm4Ge5Pd2
1.0
7.194 0.000 0.000
0.000 4.180 0.000
-0.055 0.000 8.418
Pm Ge Pd
4 5 2
Direct
0.233 0.000 0.131
0.252 0.000 0.621
0.748 0.000 0.379
0.767 0.000 0.869
0.117 0.500 0.882
0.437 0.500 0.351
0.500 0.500 0.000
0.563 0.500 0.649
0.883 0.500 0.118
0.088 0.500 0.363
0.912 0.500 0.637
```

Computed properties:
Energy relative to the elements ... -0.7580 eV/atom
M_tot ... 0.0 μB per cell
N(E_F) ... 0.584 states/eV per atom
Raw total energy ... -5.528 eV per atom

# 21
BaSc2Hg | GGA-PBE | relaxed

```
BaSc2Hg
1.0
7.775 0.000 0.000
0.000 7.775 0.000
0.000 0.000 7.775
Ba Sc Hg
4 8 4
Direct
0.000 0.000 0.000
0.000 0.500 0.500
0.500 0.000 0.500
0.500 0.500 0.000
0.000 0.000 0.500
0.000 0.500 0.000
0.250 0.250 0.750
0.250 0.750 0.250
0.500 0.000 0.000
0.500 0.500 0.500
0.750 0.250 0.250
0.750 0.750 0.750
0.250 0.250 0.250
0.250 0.750 0.750
0.750 0.250 0.750
0.750 0.750 0.250
```

Computed properties:
Energy relative to the elements ... 0.1746 eV/atom
M_tot ... 7.7 μB per cell
N(E_F) ... 1.894 states/eV per atom
Raw total energy ... -3.547 eV per atom

# 22
La2TmBePd6 | GGA-PBE | relaxed

```
La2TmBePd6
1.0
2.942 1.699 7.350
-2.942 1.699 7.350
0.000 -3.397 7.350
La Tm Be Pd
2 1 1 6
Direct
0.232 0.232 0.232
0.768 0.768 0.768
0.000 0.000 0.000
0.500 0.500 0.500
0.224 0.733 0.733
0.267 0.267 0.776
0.267 0.776 0.267
0.733 0.224 0.733
0.733 0.733 0.224
0.776 0.267 0.267
```

Computed properties:
Energy relative to the elements ... -0.6609 eV/atom
M_tot ... 0.0 μB per cell
N(E_F) ... 0.414 states/eV per atom
Raw total energy ... -5.582 eV per atom

# 23
TlRe2Cl | GGA-PBE | relaxed

```
TlRe2Cl
1.0
4.617 0.000 0.000
0.000 4.617 0.000
0.000 0.000 6.729
Tl Re Cl
2 4 2
Direct
0.000 0.000 0.000
0.500 0.500 0.500
0.000 0.000 0.500
0.000 0.500 0.250
0.500 0.000 0.750
0.500 0.500 0.000
0.000 0.500 0.750
0.500 0.000 0.250
```

Computed properties:
ΔE_f (raw) ... 1.3480 eV per atom
M_tot ... 2.7 μB per cell
N(E_F) ... 0.931 states/eV per atom
Energy relative to the lowest polymorph listed for this composition ... 1.128 eV per atom
Raw total energy ... -5.929 eV per atom

# 24
CrSiPt3 | GGA-PBE | relaxed

```
CrSiPt3
1.0
4.518 0.000 0.000
0.000 4.518 0.000
0.000 0.000 4.518
Cr Si Pt
1 1 3
Direct
0.000 0.000 0.000
0.500 0.500 0.500
0.000 0.500 0.500
0.500 0.000 0.500
0.500 0.500 0.000
```

Computed properties:
ΔE_f (raw) ... 0.2330 eV per atom
M_tot ... 4.4 μB per cell
N(E_F) ... 0.938 states/eV per atom
Energy relative to the lowest polymorph listed for this composition ... 0.000 eV per atom
Raw total energy ... -6.401 eV per atom

# 25
LiSmH2 | GGA-PBE | relaxed

```
LiSmH2
1.0
3.321 0.000 0.000
-1.660 2.876 0.000
0.000 0.000 17.538
Li Sm H
3 3 6
Direct
0.000 0.000 0.000
0.333 0.667 0.667
0.667 0.333 0.333
0.000 0.000 0.176
0.333 0.667 0.843
0.667 0.333 0.509
0.000 0.000 0.597
0.000 0.000 0.760
0.333 0.667 0.263
0.333 0.667 0.427
0.667 0.333 0.093
0.667 0.333 0.930
```

Computed properties:
M_tot ... 0.0 μB per cell
N(E_F) ... 0.110 states/eV per atom
Energy relative to the lowest polymorph listed for this composition ... 0.069 eV per atom
Raw total energy ... -3.558 eV per atom

# 26
ErTmTe2 | GGA-PBE | relaxed

```
ErTmTe2
1.0
7.502 0.000 0.000
0.000 7.502 0.000
0.000 0.000 7.502
Er Tm Te
4 4 8
Direct
0.000 0.000 0.000
0.000 0.500 0.500
0.500 0.000 0.500
0.500 0.500 0.000
0.000 0.000 0.500
0.000 0.500 0.000
0.500 0.000 0.000
0.500 0.500 0.500
0.250 0.250 0.250
0.250 0.250 0.750
0.250 0.750 0.250
0.250 0.750 0.750
0.750 0.250 0.250
0.750 0.250 0.750
0.750 0.750 0.250
0.750 0.750 0.750
```

Computed properties:
ΔE_f (raw) ... -1.0779 eV per atom
M_tot ... 4.6 μB per cell
N(E_F) ... 0.598 states/eV per atom
Energy relative to the lowest polymorph listed for this composition ... 0.148 eV per atom
Raw total energy ... -4.907 eV per atom